# 1
FeH9S2O12 SCAN PBEsol geometry; SG = No. 62
1.0
5.3515 0.0000 0.0000
0.0000 9.2832 0.0000
0.0000 0.0000 17.8520
Fe H S O
4 36 8 48
Direct
0.5000 0.5000 0.0000
0.0000 0.0000 0.5000
0.5000 0.5000 0.5000
0.0000 0.0000 0.0000
0.9450 0.0064 0.2500
0.5550 0.5064 0.2500
0.0550 0.9936 0.7500
0.4450 0.4936 0.7500
0.6620 0.9088 0.0897
0.8380 0.4088 0.4103
0.3380 0.0912 0.5897
0.1620 0.5912 0.9103
0.3380 0.0912 0.9103
0.1620 0.5912 0.5897
0.6620 0.9088 0.4103
0.8380 0.4088 0.0897
0.9401 0.8288 0.2037
0.5599 0.3288 0.2963
0.0599 0.1712 0.7037
0.4401 0.6712 0.7963
0.0599 0.1712 0.7963
0.4401 0.6712 0.7037
0.9401 0.8288 0.2963
0.5599 0.3288 0.2037
0.6993 0.0800 0.0996
0.8007 0.5800 0.4004
0.3007 0.9200 0.5996
0.1993 0.4200 0.9004
0.3007 0.9200 0.9004
0.1993 0.4200 0.5996
0.6993 0.0800 0.4004
0.8007 0.5800 0.0996
0.0138 0.1984 0.2041
0.4862 0.6984 0.2959
0.9862 0.8016 0.7041
0.5138 0.3016 0.7959
0.9862 0.8016 0.7959
0.5138 0.3016 0.7041
0.0138 0.1984 0.2959
0.4862 0.6984 0.2041
0.2018 0.7317 0.0853
0.2982 0.2317 0.4147
0.7982 0.2683 0.5853
0.7018 0.7683 0.9147
0.7982 0.2683 0.9147
0.7018 0.7683 0.5853
0.2018 0.7317 0.4147
0.2982 0.2317 0.0853
0.9682 0.1428 0.2500
0.5318 0.6428 0.2500
0.0318 0.8572 0.7500
0.4682 0.3572 0.7500
0.1483 0.8147 0.0152
0.3517 0.3147 0.4848
0.8517 0.1853 0.5152
0.6483 0.6853 0.9848
0.8517 0.1853 0.9848
0.6483 0.6853 0.5152
0.1483 0.8147 0.4848
0.3517 0.3147 0.0152
0.7884 0.9879 0.0865
0.7116 0.4879 0.4135
0.2116 0.0121 0.5865
0.2884 0.5121 0.9135
0.2116 0.0121 0.9135
0.2884 0.5121 0.5865
0.7884 0.9879 0.4135
0.7116 0.4879 0.0865
0.4166 0.7921 0.1260
0.0834 0.2921 0.3740
0.5834 0.2079 0.6260
0.9166 0.7079 0.8740
0.5834 0.2079 0.8740
0.9166 0.7079 0.6260
0.4166 0.7921 0.3740
0.0834 0.2921 0.1260
0.2490 0.5790 0.0606
0.2510 0.0790 0.4394
0.7510 0.4210 0.5606
0.7490 0.9210 0.9394
0.7510 0.4210 0.9394
0.7490 0.9210 0.5606
0.2490 0.5790 0.4394
0.2510 0.0790 0.0606
0.9785 0.7208 0.1337
0.5215 0.2208 0.3663
0.0215 0.2792 0.6337
0.4785 0.7792 0.8663
0.0215 0.2792 0.8663
0.4785 0.7792 0.6337
0.9785 0.7208 0.3663
0.5215 0.2208 0.1337
0.8992 0.8864 0.2500
0.6008 0.3864 0.2500
0.1008 0.1136 0.7500
0.3992 0.6136 0.7500

# 2
ZnFeH2O SCAN PBEsol geometry; SG = No. 123
1.0
-0.9880 2.9744 0.6301
-2.0339 -1.1391 2.1878
2.7298 0.3325 2.7108
H Zn Fe O
2 1 1 1
Direct
0.0000 0.5000 0.0000
0.5000 0.0000 0.0000
0.5000 0.5000 0.5000
0.0000 0.0000 0.0000
0.0000 0.0000 0.5000

# 3
FeHOs2Pd SCAN PBEsol geometry; SG = No. 123
1.0
2.8714 0.0000 0.0000
0.0000 4.5901 0.0000
0.0000 0.0000 4.5901
H Os Fe Pd
1 2 1 1
Direct
0.5000 0.0000 0.0000
0.0000 0.0000 0.5000
0.0000 0.5000 0.0000
0.0000 0.0000 0.0000
0.5000 0.5000 0.5000

# 4
FeP2HS SCAN PBEsol geometry; SG = No. 123
1.0
3.5163 0.0000 0.0000
0.0000 3.5163 0.0000
0.0000 0.0000 4.8248
P S Fe H
2 1 1 1
Direct
0.0000 0.5000 0.0000
0.5000 0.0000 0.0000
0.0000 0.0000 0.5000
0.5000 0.5000 0.5000
0.0000 0.0000 0.0000

| no. | final energy (eV/atom) |
| --- | --- |
| 1 | -7.25 |
| 2 | -9.14 |
| 3 | -38.49 |
| 4 | -9.61 |